AlCu4Tc | GGA-PBE | relaxed

Results
Its density of states at the Fermi level is 4.37 states/eV/f.u. The formation energy comes out at 0.13 eV per atom. As for the space-group type: F-43m (216). The value obtained for the size of the total moment is 0.0000 μB/atom.

abc: 4.7809 4.7809 4.7809
angles: 60.00 60.00 60.00
Fractional coordinates of all 6 atoms:
Cu (0.3750, 0.3750, 0.8751)
Cu (0.8751, 0.3750, 0.3750)
Cu (0.3750, 0.8751, 0.3750)
Cu (0.3750, 0.3750, 0.3750)
Al (0.0000, 0.0000, 0.0000)
Tc (0.7500, 0.7500, 0.7500)